No. 1
This record from Alexandria describes crystalline K2CaCl2F2 at its relaxed geometry. The functional is GGA-PBE.

Structure (POSCAR):
```
K2CaCl2F2
1.0
4.501 0.000 0.000
0.000 4.501 0.000
-2.251 -2.251 8.248
Cl F Ca K
2 2 1 2
direct
0.168 0.168 0.335 Cl
0.832 0.832 0.665 Cl
0.000 0.500 0.000 F
0.500 0.000 0.000 F
0.000 0.000 0.000 Ca
0.638 0.638 0.276 K
0.362 0.362 0.724 K
```

Values from the calculation:
final energy	-4.414	eV per atom
SG	I4/mmm (139)
DOS at the Fermi energy	0.000	states/eV/atom
energy relative to the elements, uncorrected	-2.752	eV per atom
magnetic moment	0.0	Bohr magnetons per cell

***

No. 2
This record from Alexandria describes crystalline LiCa3Cl2F6 at its relaxed geometry. The functional is GGA-PBE.

Structure (POSCAR):
```
LiCa3Cl2F6
1.0
5.771 0.000 0.949
0.000 7.497 0.000
0.534 -3.748 5.784
Cl Li Ca F
2 1 3 6
direct
0.165 0.709 0.417 Cl
0.835 0.291 0.583 Cl
0.500 0.000 0.000 Li
0.000 0.500 0.000 Ca
0.500 0.500 0.500 Ca
0.500 0.000 0.500 Ca
0.391 0.167 0.334 F
0.609 0.833 0.666 F
0.274 0.222 0.860 F
0.274 0.637 0.860 F
0.726 0.778 0.140 F
0.726 0.363 0.140 F
```

Values from the calculation:
final energy	-4.886	eV per atom
SG	C2/m (12)
DOS at the Fermi energy	0.693	states/eV/atom
energy relative to the elements, uncorrected	-2.983	eV per atom
magnetic moment	1.1	Bohr magnetons per cell

***

No. 3
This record from Alexandria describes crystalline Ca3MgCl2F6 at its relaxed geometry. The functional is GGA-PBE.

Structure (POSCAR):
```
Ca3MgCl2F6
1.0
-3.357 2.171 -3.642
3.950 -2.364 -5.051
-5.673 -3.448 1.801
Ca F Mg Cl
3 6 1 2
direct
0.500 0.000 0.500 Ca
0.000 0.500 0.000 Ca
0.500 0.500 0.500 Ca
0.295 0.689 0.873 F
0.650 0.840 0.680 F
0.295 0.184 0.873 F
0.350 0.160 0.320 F
0.705 0.311 0.127 F
0.705 0.816 0.127 F
0.500 0.000 0.000 Mg
0.850 0.298 0.596 Cl
0.150 0.702 0.404 Cl
```

Values from the calculation:
final energy	-5.186	eV per atom
SG	C2/m (12)
DOS at the Fermi energy	0.000	states/eV/atom
energy relative to the elements, uncorrected	-3.309	eV per atom
magnetic moment	0.0	Bohr magnetons per cell